Material: URe2I
Method: DFT, GGA-PBE
State: optimized geometry

Cell: 3.9065 3.9065 5.5089 Å, 90.00 90.00 90.00°
Closest atoms and distances in Å follow each position.
Sites, in units of the cell vectors:
U: 0.0000 0.0000 0.0000  6 Re 2.75-2.76
Re: 0.0000 0.0000 0.5000  2 U 2.75, 4 I 2.76
Re: 0.5000 0.5000 0.0000  2 I 2.75, 4 U 2.76
I: 0.5000 0.5000 0.5000  6 Re 2.75-2.76

As for the symmetry: No. 123. The value obtained for the energy is -7.981 eV/atom. As for the crystal system: tetragonal. Its theoretical density is 14.6 g/cm³.

Material: TmSb6S8I4
Method: DFT, GGA-PBE
State: optimized geometry

Cell: 7.6533 8.9726 8.9937 Å, 89.59 71.75 83.63°
Closest atoms and distances in Å follow each position.
Sites, in units of the cell vectors:
Tm: 0.0000 0.0000 0.0000  6 S 2.73-2.75
Sb: 0.2276 0.6969 0.2097  3 S 2.55-2.71
Sb: 0.2312 0.0697 0.5632  3 S 2.53-2.65
Sb: 0.2385 0.3565 0.8440  3 S 2.56-2.65
Sb: 0.7615 0.6435 0.1560  3 S 2.56-2.65
Sb: 0.7688 0.9303 0.4368  3 S 2.53-2.65
Sb: 0.7724 0.3031 0.7903  3 S 2.55-2.71
S: 0.0827 0.6933 0.9797  2 Sb 2.56-2.64, 1 Tm 2.75
S: 0.0865 0.9891 0.2725  2 Sb 2.53-2.71, 1 Tm 2.73
S: 0.0916 0.3553 0.6138  3 Sb 2.55-2.65
S: 0.3336 0.0708 0.8107  2 Sb 2.58, 1 Tm 2.73
S: 0.6664 0.9292 0.1893  2 Sb 2.58, 1 Tm 2.73
S: 0.9084 0.6447 0.3862  3 Sb 2.55-2.65
S: 0.9135 0.0109 0.7275  2 Sb 2.53-2.71, 1 Tm 2.73
S: 0.9173 0.3067 0.0203  2 Sb 2.56-2.64, 1 Tm 2.75
I: 0.3535 0.3435 0.1517  2 Sb 3.15-3.21
I: 0.3604 0.7158 0.5254  2 Sb 3.21-3.31
I: 0.6396 0.2842 0.4746  2 Sb 3.21-3.31
I: 0.6465 0.6565 0.8483  2 Sb 3.15-3.21

As for the symmetry: No. 2. The value obtained for the energy is -4.071 eV/atom. As for the crystal system: triclinic. Its theoretical density is 4.7 g/cm³.

Material: ZrScS2I2
Method: DFT, GGA-PBE
State: optimized geometry

Cell: 3.8998 5.1272 9.0356 Å, 90.00 90.00 90.00°
Closest atoms and distances in Å follow each position.
Sites, in units of the cell vectors:
Zr: 0.0000 0.0000 0.0000  4 S 2.56-2.57
Sc: 0.5000 0.5000 0.8124  4 S 2.56-2.61
S: 0.0000 0.5000 0.0036  2 Zr 2.56, 2 Sc 2.61
S: 0.5000 0.0000 0.8140  2 Sc 2.56, 2 Zr 2.57
I: 0.0000 0.5000 0.5728  2 Sc 2.91
I: 0.5000 0.0000 0.2470  2 Zr 2.96

As for the symmetry: No. 25. The value obtained for the energy is -5.820 eV/atom. As for the crystal system: orthorhombic. Its theoretical density is 4.2 g/cm³.

Material: TbYS2I2
Method: DFT, GGA-PBE
State: optimized geometry

Cell: 4.2041 5.3766 9.5483 Å, 90.00 90.00 90.00°
Closest atoms and distances in Å follow each position.
Sites, in units of the cell vectors:
Tb: 0.0000 0.0000 0.0000  4 S 2.74-2.76
Y: 0.5000 0.5000 0.2393  4 S 2.73-2.75, 2 I 3.06
S: 0.0000 0.5000 0.0536  2 Tb 2.74, 2 Y 2.75
S: 0.5000 0.0000 0.1866  2 Y 2.73, 2 Tb 2.76
I: 0.0000 0.5000 0.4718  2 Y 3.06
I: 0.5000 0.0000 0.7661  2 Tb 3.07

As for the symmetry: No. 25. The value obtained for the energy is -5.554 eV/atom. As for the crystal system: orthorhombic. Its theoretical density is 4.4 g/cm³.

Material: TcSI
Method: DFT, GGA-PBE
State: optimized geometry

Cell: 7.4738 7.4738 7.4738 Å, 60.00 60.00 60.00°
Closest atoms and distances in Å follow each position.
Sites, in units of the cell vectors:
Tc: 0.4075 0.4075 0.4075  3 S 2.31
Tc: 0.4075 0.4075 0.7775  3 S 2.31
Tc: 0.4075 0.7775 0.4075  3 S 2.31
Tc: 0.7775 0.4075 0.4075  3 S 2.31
S: 0.1348 0.6217 0.6217  3 Tc 2.31
S: 0.6217 0.1348 0.6217  3 Tc 2.31
S: 0.6217 0.6217 0.1348  3 Tc 2.31
S: 0.6217 0.6217 0.6217  3 Tc 2.31
I: 0.1290 0.1290 0.1290  3 Tc 2.99
I: 0.1290 0.1290 0.6129  3 Tc 2.99
I: 0.1290 0.6129 0.1290  3 Tc 2.99
I: 0.6129 0.1290 0.1290  3 Tc 2.99

As for the symmetry: No. 216. The value obtained for the energy is -5.662 eV/atom. As for the crystal system: cubic. Its theoretical density is 5.8 g/cm³.

Material: TmS2I4
Method: DFT, GGA-PBE
State: optimized geometry

Cell: 8.9990 8.9990 8.0187 Å, 90.00 90.00 90.00°
Closest atoms and distances in Å follow each position.
Sites, in units of the cell vectors:
Tm: 0.0000 0.0000 0.0000  16 I 4.76-4.90, 8 S 4.93
Tm: 0.5000 0.5000 0.5000  16 I 4.76-4.90, 8 S 4.93
S: 0.0000 0.5000 0.2500  4 I 2.79
S: 0.0000 0.5000 0.7500  4 I 2.79
S: 0.5000 0.0000 0.2500  4 I 2.79
S: 0.5000 0.0000 0.7500  4 I 2.79
I: 0.0000 0.2842 0.5000  2 S 2.79
I: 0.0000 0.7158 0.5000  2 S 2.79
I: 0.2158 0.5000 0.0000  2 S 2.79
I: 0.2842 0.0000 0.5000  2 S 2.79
I: 0.5000 0.2158 0.0000  2 S 2.79
I: 0.5000 0.7842 0.0000  2 S 2.79
I: 0.7158 0.0000 0.5000  2 S 2.79
I: 0.7842 0.5000 0.0000  2 S 2.79

As for the symmetry: No. 139. The value obtained for the energy is -1.853 eV/atom. As for the crystal system: tetragonal. Its theoretical density is 3.8 g/cm³.